No. 1
# Zr2ScSb (GGA-PBE, optimized geometry)
# Total magnetic moment in μB/cell: 0.00
# Formation energy (no corrections) in eV per atom: -0.557
data_Zr2ScSb
_chemical_formula_sum 'Zr4 Sc2 Sb2'
_space_group_name_H-M_alt 'P 1 21/m 1'
_space_group_IT_number 11
_space_group_name_Hall '-P 2yb'
_cell_length_a 4.255
_cell_length_b 4.284
_cell_length_c 10.545
_cell_angle_alpha 90.00
_cell_angle_beta 101.62
_cell_angle_gamma 90.00
loop_
_atom_site_label
_atom_site_type_symbol
_atom_site_fract_x
_atom_site_fract_y
_atom_site_fract_z
Zr1 Zr 0.057 0.250 0.114
Zr2 Zr 0.443 0.250 0.885
Sc1 Sc 0.191 0.750 0.382
Sb1 Sb 0.333 0.750 0.664

=====

No. 2
# Be2Ga5Ni12 (GGA-PBE, optimized geometry)
# ΔH_f (0 K) in meV/atom: -227
# Total magnetic moment in μB/cell: 0.00
data_Be2Ga5Ni12
_chemical_formula_sum 'Be4 Ga10 Ni24'
_space_group_name_H-M_alt 'C 1 2/m 1'
_space_group_IT_number 12
_space_group_name_Hall '-C 2y'
_cell_length_a 10.636
_cell_length_b 6.951
_cell_length_c 6.002
_cell_angle_alpha 90.00
_cell_angle_beta 93.94
_cell_angle_gamma 90.00
loop_
_atom_site_label
_atom_site_type_symbol
_atom_site_fract_x
_atom_site_fract_y
_atom_site_fract_z
Be1 Be 0.000 0.235 0.000
Ga1 Ga 0.000 0.500 0.500
Ga2 Ga 0.189 0.000 0.949
Ga3 Ga 0.249 0.500 0.591
Ni1 Ni 0.045 0.000 0.238
Ni2 Ni 0.091 0.500 0.882
Ni3 Ni 0.109 0.202 0.622
Ni4 Ni 0.150 0.321 0.245

=====

No. 3
# Rb2NaBeI6 (GGA-PBE, optimized geometry)
# Total magnetic moment in μB/cell: 0.00
# Formation energy (no corrections) in eV per atom: -0.832
data_Rb2NaBeI6
_chemical_formula_sum 'Rb4 Na2 Be2 I12'
_space_group_name_H-M_alt 'I 4/m m m'
_space_group_IT_number 139
_space_group_name_Hall '-I 4 2'
_cell_length_a 8.242
_cell_length_b 8.242
_cell_length_c 11.695
_cell_angle_alpha 90.00
_cell_angle_beta 90.00
_cell_angle_gamma 90.00
loop_
_atom_site_label
_atom_site_type_symbol
_atom_site_fract_x
_atom_site_fract_y
_atom_site_fract_z
Rb1 Rb 0.000 0.500 0.250
Na1 Na 0.000 0.000 0.000
Be1 Be 0.000 0.000 0.500
I1 I 0.000 0.000 0.269
I2 I 0.231 0.231 0.500

=====

No. 4
# BC3 (GGA-PBE, optimized geometry)
# ΔH_f (0 K) in meV/atom: 295
# Total magnetic moment in μB/cell: 0.00
data_BC3
_chemical_formula_sum 'B2 C6'
_space_group_name_H-M_alt 'P m m n'
_space_group_IT_number 59
_cell_length_a 2.483
_cell_length_b 5.206
_cell_length_c 3.844
_cell_angle_alpha 90.00
_cell_angle_beta 90.00
_cell_angle_gamma 90.00
loop_
_space_group_symop_operation_xyz
'x,y,z'
'-x,-y,-z'
'-x+1/2,-y+1/2,z'
'x+1/2,y+1/2,-z'
'x+1/2,-y,-z'
'-x+1/2,y,z'
'-x,y+1/2,-z'
'x,-y+1/2,z'
loop_
_atom_site_label
_atom_site_type_symbol
_atom_site_fract_x
_atom_site_fract_y
_atom_site_fract_z
B1 B 0.250 0.250 0.136
C1 C 0.250 0.504 0.381
C2 C 0.250 0.750 0.166

=====

No. 5
# Nd6Tc2HBr3 (GGA-PBE, optimized geometry)
# Total energy in eV/atom: -5.4433
# Total magnetic moment in μB/cell: 0.00
data_Nd6Tc2HBr3
_chemical_formula_sum 'Nd12 Tc4 H2 Br6'
_space_group_name_H-M_alt 'C 1 2/m 1'
_space_group_IT_number 12
_space_group_name_Hall '-C 2y'
_cell_length_a 7.035
_cell_length_b 11.532
_cell_length_c 8.296
_cell_angle_alpha 90.00
_cell_angle_beta 105.49
_cell_angle_gamma 90.00
loop_
_atom_site_label
_atom_site_type_symbol
_atom_site_fract_x
_atom_site_fract_y
_atom_site_fract_z
Nd1 Nd 0.235 0.000 0.281
Nd2 Nd 0.236 0.166 0.688
Tc1 Tc 0.000 0.360 0.500
H1 H 0.000 0.000 0.500
Br1 Br 0.000 0.179 0.000
Br2 Br 0.000 0.500 0.000

=====

No. 6
# Y3ScAs (GGA-PBE, optimized geometry)
# ΔH_f (0 K) in meV/atom: -260
# Total magnetic moment in μB/cell: 2.41
data_Y3ScAs
_chemical_formula_sum 'Y3 Sc1 As1'
_space_group_name_H-M_alt 'P m -3 m'
_space_group_IT_number 221
_space_group_name_Hall '-P 4 2 3'
_cell_length_a 5.447
_cell_length_b 5.447
_cell_length_c 5.447
_cell_angle_alpha 90.00
_cell_angle_beta 90.00
_cell_angle_gamma 90.00
loop_
_atom_site_label
_atom_site_type_symbol
_atom_site_fract_x
_atom_site_fract_y
_atom_site_fract_z
Y1 Y 0.000 0.000 0.500
Sc1 Sc 0.500 0.500 0.500
As1 As 0.000 0.000 0.000

=====

- Which value of total magnetic moment does entry 1 give?
  0.00 μB/cell

=====

- Among the records above, which one has the highest total magnetic moment?
  Y3ScAs